Entry from Alexandria: a relaxed structure of Sb2HSe (PBE-GGA).

Relative energy among the computed polymorphs, eV/atom: 0.1669
Crystal system: cubic
Density, Mg/m³: 6.480
VASP energy, eV/cell: -51.27
Volume, Å³/cell: 331.6
DOS(E_F), states/eV per cell: 6.28
Total magnetization, μB/cell: 0.00

The structure in CIF format:
```
data_Sb2HSe
_symmetry_space_group_name_H-M 'F m -3 m'
_symmetry_Int_Tables_number 225
_symmetry_space_group_name_Hall '-F 4 2 3'
_cell_length_a 6.922
_cell_length_b 6.922
_cell_length_c 6.922
_cell_angle_alpha 90.00
_cell_angle_beta 90.00
_cell_angle_gamma 90.00
loop_
_atom_site_label
_atom_site_type_symbol
_atom_site_fract_x
_atom_site_fract_y
_atom_site_fract_z
Sb1 Sb 0.250 0.250 0.250
H1 H 0.000 0.000 0.000
Se1 Se 0.000 0.000 0.500
```

=====

Entry from Alexandria: a relaxed structure of SiCl (PBE-GGA).

Relative energy among the computed polymorphs, eV/atom: 1.2027
Crystal system: tetragonal
Density, Mg/m³: 2.694
VASP energy, eV/cell: -6.21
Volume, Å³/cell: 39.2
DOS(E_F), states/eV per cell: 1.36
Total magnetization, μB/cell: 0.00
ΔE_f (raw), eV/atom: 0.53

The structure in CIF format:
```
data_SiCl
_symmetry_space_group_name_H-M 'P 4/m m m'
_symmetry_Int_Tables_number 123
_symmetry_space_group_name_Hall '-P 4 2'
_cell_length_a 3.039
_cell_length_b 3.039
_cell_length_c 4.242
_cell_angle_alpha 90.00
_cell_angle_beta 90.00
_cell_angle_gamma 90.00
loop_
_atom_site_label
_atom_site_type_symbol
_atom_site_fract_x
_atom_site_fract_y
_atom_site_fract_z
Si1 Si 0.000 0.000 0.000
Cl1 Cl 0.500 0.500 0.500
```

=====

Entry from Alexandria: a relaxed structure of Sc2BiS (PBE-GGA).

Relative energy among the computed polymorphs, eV/atom: 0.5198
Crystal system: trigonal
Density, Mg/m³: 4.126
VASP energy, eV/cell: -70.28
Volume, Å³/cell: 399.6
DOS(E_F), states/eV per cell: 16.62
Total magnetization, μB/cell: 0.00
ΔE_f (raw), eV/atom: -0.69

The structure in CIF format:
```
data_Sc2BiS
_symmetry_space_group_name_H-M 'R -3 m'
_symmetry_Int_Tables_number 166
_symmetry_space_group_name_Hall '-R 3 2"'
_cell_length_a 4.5305
_cell_length_b 4.5305
_cell_length_c 22.4819
_cell_angle_alpha 90.00
_cell_angle_beta 90.00
_cell_angle_gamma 120.00
loop_
_atom_site_label
_atom_site_type_symbol
_atom_site_fract_x
_atom_site_fract_y
_atom_site_fract_z
Sc1 Sc 0.0000 0.0000 0.1040
Bi1 Bi 0.0000 0.0000 0.5000
S1 S 0.0000 0.0000 0.0000
```

=====

Entry from Alexandria: a relaxed structure of FeMo2Cl (PBE-GGA).

Relative energy among the computed polymorphs, eV/atom: 0.1091
Crystal system: trigonal
Density, Mg/m³: 8.050
VASP energy, eV/cell: -91.19
Volume, Å³/cell: 175.2
DOS(E_F), states/eV per cell: 14.85
Total magnetization, μB/cell: 2.10
ΔE_f (raw), eV/atom: 0.39

The structure in CIF format:
```
data_FeMo2Cl
_symmetry_space_group_name_H-M 'R -3 m'
_symmetry_Int_Tables_number 166
_symmetry_space_group_name_Hall '-R 3 2"'
_cell_length_a 2.8383
_cell_length_b 2.8383
_cell_length_c 25.1164
_cell_angle_alpha 90.00
_cell_angle_beta 90.00
_cell_angle_gamma 120.00
loop_
_atom_site_label
_atom_site_type_symbol
_atom_site_fract_x
_atom_site_fract_y
_atom_site_fract_z
Fe1 Fe 0.0000 0.0000 0.0000
Mo1 Mo 0.0000 0.0000 0.2518
Cl1 Cl 0.0000 0.0000 0.5000
```

=====

Entry from Alexandria: a relaxed structure of RbLa2Sb2 (PBE-GGA).

Relative energy among the computed polymorphs, eV/atom: 0.1200
Crystal system: tetragonal
Density, Mg/m³: 4.444
VASP energy, eV/cell: -44.86
Volume, Å³/cell: 453.5
DOS(E_F), states/eV per cell: 0.01
Total magnetization, μB/cell: 2.00
ΔE_f (raw), eV/atom: -0.67

The structure in CIF format:
```
data_RbLa2Sb2
_symmetry_space_group_name_H-M 'I 4/m m m'
_symmetry_Int_Tables_number 139
_symmetry_space_group_name_Hall '-I 4 2'
_cell_length_a 6.070
_cell_length_b 6.070
_cell_length_c 12.307
_cell_angle_alpha 90.00
_cell_angle_beta 90.00
_cell_angle_gamma 90.00
loop_
_atom_site_label
_atom_site_type_symbol
_atom_site_fract_x
_atom_site_fract_y
_atom_site_fract_z
Rb1 Rb 0.000 0.000 0.000
La1 La 0.000 0.000 0.323
Sb1 Sb 0.000 0.500 0.250
```

=====

Entry from Alexandria: a relaxed structure of Y2ZrFe (PBE-GGA).

Relative energy among the computed polymorphs, eV/atom: 0.0000
Crystal system: orthorhombic
Density, Mg/m³: 5.751
VASP energy, eV/cell: -59.57
Volume, Å³/cell: 187.6
DOS(E_F), states/eV per cell: 8.50
Total magnetization, μB/cell: 0.00
DFT formation energy, eV per atom: 0.039

The structure in CIF format:
```
data_Y2ZrFe
_symmetry_space_group_name_H-M 'I m m 2'
_symmetry_Int_Tables_number 44
_symmetry_space_group_name_Hall 'I 2 -2'
_cell_length_a 3.444
_cell_length_b 5.227
_cell_length_c 10.422
_cell_angle_alpha 90.00
_cell_angle_beta 90.00
_cell_angle_gamma 90.00
loop_
_atom_site_label
_atom_site_type_symbol
_atom_site_fract_x
_atom_site_fract_y
_atom_site_fract_z
Y1 Y 0.000 0.000 0.000
Y2 Y 0.000 0.500 0.201
Zr1 Zr 0.000 0.500 0.808
Fe1 Fe 0.000 0.000 0.483
```

=====

Entry from Alexandria: a relaxed structure of Tb8PmHo2 (PBE-GGA).

Relative energy among the computed polymorphs, eV/atom: 0.0000
Crystal system: orthorhombic
Density, Mg/m³: 8.096
VASP energy, eV/cell: -99.40
Volume, Å³/cell: 716.4
DOS(E_F), states/eV per cell: 31.80
Total magnetization, μB/cell: 0.00
DFT formation energy, eV per atom: 0.113

The structure in CIF format:
```
data_Tb8PmHo2
_symmetry_space_group_name_H-M 'I m m m'
_symmetry_Int_Tables_number 71
_symmetry_space_group_name_Hall '-I 2 2'
_cell_length_a 5.537
_cell_length_b 8.141
_cell_length_c 15.891
_cell_angle_alpha 90.00
_cell_angle_beta 90.00
_cell_angle_gamma 90.00
loop_
_atom_site_label
_atom_site_type_symbol
_atom_site_fract_x
_atom_site_fract_y
_atom_site_fract_z
Tb1 Tb 0.000 0.000 0.164
Tb2 Tb 0.000 0.206 0.362
Tb3 Tb 0.000 0.295 0.000
Pm1 Pm 0.000 0.500 0.500
Ho1 Ho 0.000 0.500 0.200
```

=====

Entry from Alexandria: a relaxed structure of Na6TlCd3 (PBE-GGA).

Crystal system: monoclinic
Density, Mg/m³: 4.074
VASP energy, eV/cell: -27.49
Volume, Å³/cell: 554.0
DOS(E_F), states/eV per cell: 9.57
Total magnetization, μB/cell: 0.00
DFT formation energy, eV per atom: -0.072

The structure in CIF format:
```
data_Na6TlCd3
_symmetry_space_group_name_H-M 'P 1 21/m 1'
_symmetry_Int_Tables_number 11
_symmetry_space_group_name_Hall '-P 2yb'
_cell_length_a 9.278
_cell_length_b 5.420
_cell_length_c 11.618
_cell_angle_alpha 90.00
_cell_angle_beta 108.54
_cell_angle_gamma 90.00
loop_
_atom_site_label
_atom_site_type_symbol
_atom_site_fract_x
_atom_site_fract_y
_atom_site_fract_z
Na1 Na 0.021 0.250 0.416
Na2 Na 0.203 0.250 0.191
Na3 Na 0.205 0.750 0.902
Na4 Na 0.209 0.750 0.377
Na5 Na 0.379 0.750 0.681
Na6 Na 0.430 0.750 0.192
Tl1 Tl 0.185 0.250 0.719
Cd1 Cd 0.004 0.250 0.916
Cd2 Cd 0.410 0.250 0.500
Cd3 Cd 0.415 0.250 0.011
```